A plane-wave DFT calculation with PBE was carried out for Zr2GaCF after structural relaxation.

a b c (Å): 4.398 4.164 4.398
angles (deg): 90.00 90.00 90.00
Fractional positions:
F 0.000 0.000 0.000
Zr 0.500 0.000 0.000
C 0.000 0.500 0.000
Zr 0.000 0.000 0.500
Ga 0.500 0.500 0.500

Computed properties:
Space-group type ... P4/mmm
Raw total energy ... -5.991 eV/atom

A plane-wave DFT calculation with PBE was carried out for K4Gd2C3O9F4 after structural relaxation.

a b c (Å): 6.983 6.983 7.049
angles (deg): 81.08 81.08 82.15
Fractional positions:
C 0.659 0.023 0.376
Gd 0.640 0.648 0.644
O 0.991 0.496 0.494
F 0.396 0.438 0.650
O 0.660 0.176 0.244
F 0.209 0.190 0.183
O 0.218 0.646 0.147
O 0.504 0.009 0.506
O 0.824 0.340 0.756
K 0.872 0.496 0.116
F 0.562 0.604 0.350
O 0.114 0.199 0.619
Gd 0.352 0.360 0.356
O 0.354 0.782 0.853
C 0.977 0.341 0.624
K 0.001 0.999 0.000
K 0.150 0.850 0.500
K 0.504 0.128 0.884
C 0.355 0.645 0.000
O 0.801 0.886 0.381
O 0.496 0.504 0.000
F 0.810 0.791 0.817

Computed properties:
Space-group type ... C2
Raw total energy ... -7.577 eV/atom

A plane-wave DFT calculation with PBE was carried out for K4Gd2C3O9F4 after structural relaxation.

a b c (Å): 9.145 7.006 10.657
angles (deg): 79.25 90.00 90.00
Fractional positions:
K 0.875 0.494 0.753
F 0.101 0.603 0.195
O 0.215 0.875 0.328
O 0.240 0.485 0.478
K 0.002 0.999 0.750
O 0.252 0.492 0.978
F 0.006 0.803 0.556
K 0.813 0.110 0.441
C 0.176 0.644 0.926
K 0.321 0.132 0.939
C 0.142 0.013 0.258
F 0.891 0.413 0.295
O 0.000 0.998 0.251
F 0.601 0.397 0.805
K 0.313 0.890 0.559
C 0.642 0.987 0.742
O 0.500 0.002 0.749
O 0.033 0.349 0.562
C 0.675 0.646 0.438
K 0.502 0.001 0.250
K 0.375 0.506 0.247
F 0.391 0.587 0.705
O 0.205 0.168 0.196
Gd 0.505 0.357 0.609
Gd 0.992 0.355 0.105
O 0.533 0.651 0.438
O 0.253 0.234 0.643
O 0.744 0.203 0.130
O 0.244 0.797 0.870
O 0.705 0.832 0.804
O 0.753 0.766 0.357
F 0.999 0.187 0.946
C 0.175 0.354 0.562
F 0.499 0.813 0.054
F 0.506 0.197 0.444
O 0.534 0.363 0.067
C 0.676 0.356 0.074
K 0.821 0.868 0.061
O 0.752 0.508 0.022
Gd 0.492 0.645 0.895
O 0.034 0.637 0.933
O 0.715 0.125 0.672
O 0.740 0.515 0.522
Gd 0.005 0.643 0.391

Computed properties:
Space-group type ... P2_1
Raw total energy ... -7.579 eV/atom

A plane-wave DFT calculation with PBE was carried out for GeC3F after structural relaxation.

a b c (Å): 3.813 3.813 3.813
angles (deg): 90.00 90.00 90.00
Fractional positions:
F 0.000 0.000 0.000
C 0.000 0.500 0.000
Ge 0.500 0.500 0.500
C 0.000 0.000 0.500
C 0.500 0.000 0.000

Computed properties:
Space-group type ... Pm-3m
Raw total energy ... -3.679 eV/atom
E above lowest polymorph ... 0.436 eV/atom

A plane-wave DFT calculation with PBE was carried out for GeCF3 after structural relaxation.

a b c (Å): 4.119 4.119 4.119
angles (deg): 90.00 90.00 90.00
Fractional positions:
C 0.500 0.500 0.500
Ge 0.000 0.000 0.000
F 0.000 0.500 0.000
F 0.500 0.000 0.000
F 0.000 0.000 0.500

Computed properties:
Space-group type ... Pm-3m
Raw total energy ... -3.983 eV/atom
E above lowest polymorph ... 0.000 eV/atom

A plane-wave DFT calculation with PBE was carried out for GeC2F after structural relaxation.

a b c (Å): 3.816 3.816 3.816
angles (deg): 60.00 60.00 60.00
Fractional positions:
Ge 0.500 0.500 0.500
C 0.250 0.250 0.250
C 0.750 0.750 0.750
F 0.000 0.000 0.000

Computed properties:
Space-group type ... Fm-3m
Raw total energy ... -4.290 eV/atom
E above lowest polymorph ... 0.219 eV/atom

A plane-wave DFT calculation with PBE was carried out for GeCF2 after structural relaxation.

a b c (Å): 7.676 7.676 7.676
angles (deg): 20.42 20.42 20.42
Fractional positions:
C 0.500 0.500 0.500
Ge 0.000 0.000 0.000
F 0.915 0.915 0.915
F 0.085 0.085 0.085

Computed properties:
Space-group type ... R-3m
Raw total energy ... -3.865 eV/atom
E above lowest polymorph ... 0.000 eV/atom

A plane-wave DFT calculation with PBE was carried out for GeCF2 after structural relaxation.

a b c (Å): 5.245 5.245 5.977
angles (deg): 63.98 63.98 90.00
Fractional positions:
C 0.250 0.750 0.500
F 0.280 0.625 0.250
Ge 0.000 0.000 0.000
F 0.375 0.530 0.750
Ge 0.750 0.250 0.500
F 0.875 0.720 0.750
F 0.470 0.125 0.250
C 0.500 0.500 0.000

Computed properties:
Space-group type ... I-42d
Raw total energy ... -3.523 eV/atom
E above lowest polymorph ... 0.342 eV/atom

Record-wise M_tot values, in μB per formula unit: 0.000, 13.997, 13.994, 0.000, 1.694, 0.000, 0.000, 0.000
Record-wise raw formation energy values, in eV per atom: 0.25, -2.47, -2.47, 3.15, -0.09, 1.94, 0.53, 0.87